[1]
# TbPaO

A geometry-optimized TbPaO structure (PBE-GGA, Alexandria).

Unit cell a=3.285 b=3.285 c=12.469 alpha=90.00 beta=90.00 gamma=120.00
Sites, in units of the cell vectors:
1 Tb 0.000 0.000 0.233
2 Tb 0.000 0.000 0.767
3 Pa 0.000 0.000 0.500
4 Pa 0.667 0.333 0.000
5 O 0.667 0.333 0.363
6 O 0.667 0.333 0.637

Computed properties:
Fermi-level density of states	7.8	states/eV per cell
formation energy from raw total energies	-137.0	kJ per mole of atoms
crystal system	hexagonal
E_tot	-46.690	eV/cell
V	19.43	A^3/atom
ρ	11567	kg/m3

---

[2]
# TbPa2O7

A geometry-optimized TbPa2O7 structure (PBE-GGA, Alexandria).

Unit cell a=10.713 b=10.713 c=10.713 alpha=20.89 beta=20.89 gamma=20.89
Sites, in units of the cell vectors:
1 Tb 0.000 0.000 0.000
2 Pa 0.431 0.431 0.431
3 Pa 0.569 0.569 0.569
4 O 0.076 0.076 0.076
5 O 0.219 0.219 0.219
6 O 0.361 0.361 0.361
7 O 0.500 0.500 0.500
8 O 0.639 0.639 0.639
9 O 0.781 0.781 0.781
10 O 0.924 0.924 0.924

Computed properties:
Fermi-level density of states	6.4	states/eV per cell
formation energy from raw total energies	-325.0	kJ per mole of atoms
crystal system	trigonal
E_tot	-92.009	eV/cell
V	13.68	A^3/atom
ρ	8894	kg/m3

---

[3]
# Tb3PaO7

A geometry-optimized Tb3PaO7 structure (PBE-GGA, Alexandria).

Unit cell a=6.658 b=6.658 c=7.749 alpha=90.00 beta=90.00 gamma=109.73
Sites, in units of the cell vectors:
1 Tb 0.001 0.001 0.000
2 Tb 0.031 0.507 0.250
3 Tb 0.493 0.969 0.250
4 Tb 0.507 0.031 0.750
5 Tb 0.969 0.493 0.750
6 Tb 0.999 0.999 0.500
7 Pa 0.500 0.500 0.000
8 Pa 0.500 0.500 0.500
9 O 0.133 0.867 0.250
10 O 0.134 0.866 0.750
11 O 0.162 0.413 0.531
12 O 0.162 0.413 0.970
13 O 0.402 0.598 0.250
14 O 0.413 0.162 0.030
15 O 0.413 0.162 0.469
16 O 0.587 0.838 0.530
17 O 0.587 0.838 0.969
18 O 0.598 0.402 0.750
19 O 0.838 0.587 0.031
20 O 0.838 0.587 0.470
21 O 0.866 0.134 0.250
22 O 0.867 0.133 0.750

Computed properties:
Fermi-level density of states	0.0	states/eV per cell
formation energy from raw total energies	-344.9	kJ per mole of atoms
crystal system	orthorhombic
E_tot	-194.840	eV/cell
V	14.70	A^3/atom
ρ	8420	kg/m3

---

[4]
# TbPaO2

A geometry-optimized TbPaO2 structure (PBE-GGA, Alexandria).

Unit cell a=6.719 b=6.719 c=6.719 alpha=31.59 beta=31.59 gamma=31.59
Sites, in units of the cell vectors:
1 Tb 0.000 0.000 0.000
2 Pa 0.500 0.500 0.500
3 O 0.387 0.387 0.387
4 O 0.613 0.613 0.613

Computed properties:
Fermi-level density of states	4.3	states/eV per cell
formation energy from raw total energies	-260.0	kJ per mole of atoms
crystal system	trigonal
E_tot	-34.820	eV/cell
V	18.48	A^3/atom
ρ	9480	kg/m3

---

[5]
# TbPaO4

A geometry-optimized TbPaO4 structure (PBE-GGA, Alexandria).

Unit cell a=3.816 b=3.816 c=5.415 alpha=90.00 beta=90.00 gamma=90.00
Sites, in units of the cell vectors:
1 Tb 0.000 0.000 0.000
2 Pa 0.500 0.500 0.500
3 O 0.000 0.500 0.261
4 O 0.000 0.500 0.739
5 O 0.500 0.000 0.261
6 O 0.500 0.000 0.739

Computed properties:
Fermi-level density of states	0.0	states/eV per cell
formation energy from raw total energies	-359.1	kJ per mole of atoms
crystal system	tetragonal
E_tot	-56.287	eV/cell
V	13.14	A^3/atom
ρ	9561	kg/m3

---

[6]
# Tb2PaO

A geometry-optimized Tb2PaO structure (PBE-GGA, Alexandria).

Unit cell a=9.582 b=9.582 c=9.582 alpha=19.85 beta=19.85 gamma=19.85
Sites, in units of the cell vectors:
1 Tb 0.115 0.115 0.115
2 Tb 0.885 0.885 0.885
3 Pa 0.000 0.000 0.000
4 O 0.500 0.500 0.500

Computed properties:
Fermi-level density of states	4.6	states/eV per cell
formation energy from raw total energies	-101.9	kJ per mole of atoms
crystal system	trigonal
E_tot	-27.941	eV/cell
V	22.18	A^3/atom
ρ	10574	kg/m3

---

[7]
# TbPaTeO6

A geometry-optimized TbPaTeO6 structure (PBE-GGA, Alexandria).

Unit cell a=5.690 b=5.690 c=9.592 alpha=90.00 beta=90.00 gamma=120.00
Sites, in units of the cell vectors:
1 Tb 0.333 0.667 0.250
2 Tb 0.667 0.333 0.750
3 Pa 0.000 0.000 0.000
4 Pa 0.000 0.000 0.500
5 Te 0.333 0.667 0.750
6 Te 0.667 0.333 0.250
7 O 0.013 0.330 0.628
8 O 0.013 0.683 0.872
9 O 0.317 0.330 0.872
10 O 0.317 0.987 0.628
11 O 0.330 0.013 0.128
12 O 0.330 0.317 0.372
13 O 0.670 0.683 0.628
14 O 0.670 0.987 0.872
15 O 0.683 0.013 0.372
16 O 0.683 0.670 0.128
17 O 0.987 0.317 0.128
18 O 0.987 0.670 0.372

Computed properties:
Fermi-level density of states	0.0	states/eV per cell
formation energy from raw total energies	-253.0	kJ per mole of atoms
crystal system	trigonal
E_tot	-141.231	eV/cell
V	14.94	A^3/atom
ρ	7577	kg/m3

---

[8]
# TbPaTi2O8

A geometry-optimized TbPaTi2O8 structure (PBE-GGA, Alexandria).

Unit cell a=6.619 b=6.619 c=6.619 alpha=134.08 beta=134.08 gamma=66.97
Sites, in units of the cell vectors:
1 Tb 0.000 0.000 0.000
2 Pa 0.750 0.250 0.500
3 Ti 0.250 0.750 0.500
4 Ti 0.500 0.500 0.000
5 O 0.071 0.656 0.063
6 O 0.155 0.245 0.576
7 O 0.344 0.407 0.415
8 O 0.422 0.845 0.090
9 O 0.593 0.008 0.937
10 O 0.669 0.578 0.424
11 O 0.755 0.331 0.910
12 O 0.992 0.929 0.585

Computed properties:
Fermi-level density of states	0.0	states/eV per cell
formation energy from raw total energies	-322.8	kJ per mole of atoms
crystal system	tetragonal
E_tot	-109.725	eV/cell
V	12.27	A^3/atom
ρ	6920	kg/m3